Record 1
Mg2MnRe | the Alexandria database | PBE-GGA | relaxed; mass density = 7.50 g/cm³; magnetic moment = 0.834 μB per atom; polymorph energy (0 for the lowest one) = 293 meV per atom; DOS(E_F) = 3.0 states/eV per cell; VASP energy = -5.798 eV per atom
1.0
5.0552 -0.0107 0.0000
2.0707 4.6117 0.0000
-3.5630 -2.3005 2.7510
Mg Mn Re
2 1 1
direct
0.0000 0.0000 0.0000 Mg
0.5000 0.5000 0.0000 Mg
0.2500 0.7500 0.5000 Mn
0.7500 0.2500 0.5000 Re

***

Record 2
Mg2MnRe | the Alexandria database | PBE-GGA | relaxed; mass density = 7.42 g/cm³; magnetic moment = 0.273 μB per atom; polymorph energy (0 for the lowest one) = 219 meV per atom; DOS(E_F) = 2.5 states/eV per cell; VASP energy = -5.872 eV per atom
1.0
5.2387 0.0070 -0.0198
2.2269 4.7418 0.0198
-3.1736 -3.2535 2.6052
Mn Mg Re
1 2 1
direct
0.4742 0.4742 0.0000 Mn
0.7328 0.2328 0.5000 Mg
0.0100 0.0100 0.0000 Mg
0.2831 0.7831 0.5000 Re

***

> Among the records above, which one has the highest DOS(E_F)?

number 1

***

> What is the polymorph energy (0 for the lowest one) in the first record?

293 meV per atom